A relaxed SrCaDy4Be2O10 crystal. Source: Alexandria, functional PBEsol.

## Properties
Energy relative to the elements, uncorrected: -3.259 eV/atom
DOS at the Fermi energy: 0.000 states/eV/cell
Raw total energy: -7.95 eV per atom
M_tot: 0.00 μB per formula unit
SG: No. 4

Structure (extended XYZ):
```
36
Lattice="6.2873 0.0000 0.0000 0.0000 6.9796 0.0000 -0.0562 0.0000 9.2011" Properties=species:S:1:pos:R:3 pbc="T T T"
Sr 0.4938 0.0000 2.9912
Sr 5.7373 3.4898 6.2098
Ca 2.5747 6.9443 7.5767
Ca 3.6564 3.4545 1.6243
Dy 0.4456 3.1954 2.9574
Dy 0.6092 5.1130 0.1928
Dy 2.5146 5.1064 4.8037
Dy 2.6670 3.1005 7.6611
Dy 3.5641 6.5903 1.5400
Dy 3.7165 1.6166 4.3974
Dy 5.6219 1.6232 9.0083
Dy 5.7856 6.6852 6.2437
Be 1.2061 1.5968 5.5671
Be 1.9432 1.6191 0.9333
Be 4.2879 5.1089 8.2678
Be 5.0250 5.0866 3.6340
O 0.1245 5.0924 4.5015
O 0.8346 1.5349 7.2035
O 0.9614 5.2131 7.1843
O 1.1568 2.9664 0.5747
O 1.2587 0.2106 0.6407
O 1.9370 0.2309 5.2322
O 2.0065 2.9742 5.3534
O 2.0970 5.0286 2.5271
O 2.2864 1.6964 2.5686
O 2.9138 5.0659 9.1173
O 3.3173 1.5761 0.0838
O 3.9447 5.1862 6.6324
O 4.1341 1.5389 6.6739
O 4.2246 6.4639 3.8477
O 4.2941 3.7207 3.9689
O 4.9724 3.7004 8.5603
O 5.0743 6.4562 8.6263
O 5.2697 1.7233 2.0167
O 5.3965 5.0247 1.9976
O 6.1066 1.6026 4.6995
```

***

A relaxed Ca2EuBeO5 crystal. Source: Alexandria, functional PBEsol.

## Properties
Energy relative to the elements, uncorrected: -2.707 eV/atom
DOS at the Fermi energy: 28.370 states/eV/cell
Raw total energy: -7.72 eV per atom
M_tot: 5.00 μB per formula unit
SG: No. 62

Structure (extended XYZ):
```
36
Lattice="9.1552 0.0000 0.0000 0.0000 7.0159 0.0000 0.0000 0.0000 6.3778" Properties=species:S:1:pos:R:3 pbc="T T T"
Ca 1.5817 0.1671 0.5614
Ca 1.5817 3.3409 0.5614
Ca 2.9959 3.6750 3.7503
Ca 2.9959 6.8489 3.7503
Ca 6.1593 0.1671 2.6275
Ca 6.1593 3.3409 2.6275
Ca 7.5736 3.6750 5.8164
Ca 7.5736 6.8489 5.8164
Eu 0.2037 1.7540 3.7643
Eu 4.3739 5.2619 0.5754
Eu 4.7814 1.7540 5.8024
Eu 8.9515 5.2619 2.6135
Be 0.9427 5.2619 5.2077
Be 3.6349 1.7540 2.0188
Be 5.5204 5.2619 4.3590
Be 8.2125 1.7540 1.1701
O 0.0567 5.2619 0.1763
O 0.6322 3.9129 4.3863
O 0.6322 6.6110 4.3863
O 2.0069 5.2619 2.1400
O 2.0378 1.7540 2.3846
O 2.5399 5.2619 5.5734
O 2.5707 1.7540 5.3288
O 3.9454 0.4049 1.1974
O 3.9454 3.1031 1.1974
O 4.5210 1.7540 3.3652
O 4.6343 5.2619 3.0126
O 5.2099 3.9129 5.1803
O 5.2099 6.6110 5.1803
O 6.5845 5.2619 1.0489
O 6.6154 1.7540 0.8043
O 7.1175 5.2619 3.9932
O 7.1483 1.7540 4.2378
O 8.5230 0.4049 1.9914
O 8.5230 3.1031 1.9914
O 9.0986 1.7540 6.2015
```

***

A relaxed Ca2Be2P2O9F crystal. Source: Alexandria, functional PBEsol.

## Properties
Energy relative to the elements, uncorrected: -2.705 eV/atom
Raw total energy: -7.27 eV per atom
M_tot: 1.07 μB per formula unit
SG: No. 7

Structure (extended XYZ):
```
32
Lattice="4.7940 0.0000 0.0000 0.0000 7.6714 0.0000 -0.0682 0.0000 9.7084" Properties=species:S:1:pos:R:3 pbc="T T T"
Ca 0.0000 1.0215 0.0000
Ca -0.0341 6.6498 4.8542
Ca -0.0133 2.7851 3.3111
Ca -0.0474 4.8862 8.1654
Be 2.1356 2.5786 8.1123
Be 2.1697 5.0928 3.2581
Be 2.5565 1.2485 4.9290
Be 2.5906 6.4229 0.0748
P 2.2464 0.1718 2.4355
P 2.2123 7.4996 7.2897
P 2.5071 3.6852 0.8612
P 2.4730 3.9862 5.7154
O 1.1559 1.1591 2.0352
O 1.1219 6.5123 6.8894
O 1.4471 3.1191 9.5070
O 1.4812 4.5522 4.6528
O 1.5510 1.0864 7.9223
O 1.5850 6.5850 3.0681
O 1.6372 3.6056 6.9600
O 1.6713 4.0658 2.1058
O 3.0672 0.2338 6.0637
O 3.1013 7.4375 1.2094
O 3.1393 2.7221 5.1141
O 3.1734 4.9493 0.2598
O 3.2261 0.7522 3.5094
O 3.1920 6.9192 8.3636
O 3.6130 2.6858 1.2221
O 3.5789 4.9855 6.0763
O 3.7214 2.6671 8.3602
O 3.7555 5.0043 3.5060
F 0.9888 1.2179 4.8148
F 0.9547 6.4535 9.6690
```